Entry 1:
# NaLa3Ir

Crystalline NaLa3Ir at its relaxed geometry (GGA-PBE, Alexandria via LeMat-Bulk).

DFT formation energy   -0.239 eV per atom
V   356.63 Å³ per cell
Energy relative to the lowest polymorph listed for this composition   0.085 eV/atom
Total magnetic moment   0.0 μB per cell

abc: 8.149 8.149 8.149
angles: 57.05 57.05 57.05
Atoms (fractional coordinates):
La (0.629, 0.547, 0.086)
Ir (0.331, 0.331, 0.331)
Na (0.918, 0.918, 0.918)
La (0.086, 0.629, 0.547)
La (0.371, 0.453, 0.914)
La (0.547, 0.086, 0.629)
Ir (0.669, 0.669, 0.669)
Na (0.082, 0.082, 0.082)
La (0.453, 0.914, 0.371)
La (0.914, 0.371, 0.453)


Entry 2:
# NaPmPaS4

Crystalline NaPmPaS4 at its relaxed geometry (GGA-PBE, Alexandria via LeMat-Bulk).

Formation energy from raw total energies   -163.5 kJ per mole of atoms
V   399.54 Å³ per cell
Total magnetic moment   2.1 μB per cell

abc: 8.216 8.275 8.289
angles: 120.06 90.00 119.76
Atoms (fractional coordinates):
Na (0.122, 0.245, 0.872)
S (0.752, 0.040, 0.270)
Pm (0.500, 0.000, 0.000)
S (0.259, 0.518, 0.289)
S (0.741, 0.482, 0.711)
S (0.741, 0.482, 0.271)
S (0.248, 0.960, 0.730)
S (0.259, 0.518, 0.729)
Na (0.878, 0.755, 0.128)
S (0.288, 0.040, 0.270)
Pa (0.000, 0.500, 0.500)
Pm (0.500, 0.000, 0.500)
S (0.712, 0.960, 0.730)
Pa (0.500, 0.500, 0.500)


Entry 3:
# Sr2TlNiSn

Crystalline Sr2TlNiSn at its relaxed geometry (GGA-PBE, Alexandria via LeMat-Bulk).

DFT formation energy   -0.312 eV per atom
V   160.93 Å³ per cell
Total magnetic moment   0.0 μB per cell

abc: 5.775 5.775 4.826
angles: 90.00 90.00 90.00
Atoms (fractional coordinates):
Ni (0.000, 0.000, 0.000)
Sr (0.000, 0.500, 0.000)
Tl (0.500, 0.500, 0.500)
Sr (0.500, 0.000, 0.000)
Sn (0.000, 0.000, 0.500)


Entry 4:
# CsPtS2

Crystalline CsPtS2 at its relaxed geometry (GGA-PBE, Alexandria via LeMat-Bulk).

Formation energy from raw total energies   61.8 kJ per mole of atoms
V   89.43 Å³ per cell
Energy relative to the lowest polymorph listed for this composition   1.344 eV/atom
Total magnetic moment   0.0 μB per cell

abc: 5.019 5.019 5.019
angles: 60.00 60.00 60.00
Atoms (fractional coordinates):
Cs (0.000, 0.000, 0.000)
Pt (0.500, 0.500, 0.500)
S (0.750, 0.750, 0.750)
S (0.250, 0.250, 0.250)


Entry 5:
# K2MgHg10

Crystalline K2MgHg10 at its relaxed geometry (GGA-PBE, Alexandria via LeMat-Bulk).

DFT formation energy   -0.093 eV per atom
V   905.92 Å³ per cell
Total magnetic moment   0.0 μB per cell

abc: 6.927 11.562 11.312
angles: 90.00 90.00 90.00
Atoms (fractional coordinates):
Mg (0.000, 0.500, 0.500)
Hg (0.000, 0.437, 0.753)
K (0.500, 0.386, 0.840)
Hg (0.000, 0.190, 0.819)
Hg (0.000, 0.810, 0.181)
Hg (0.293, 0.834, 0.951)
Hg (0.000, 0.876, 0.456)
Hg (0.000, 0.563, 0.247)
K (0.500, 0.886, 0.660)
Hg (0.707, 0.666, 0.451)
Hg (0.000, 0.690, 0.681)
Hg (0.000, 0.124, 0.544)
Hg (0.000, 0.063, 0.253)
Mg (0.000, 0.000, 0.000)
Hg (0.293, 0.334, 0.549)
Hg (0.293, 0.166, 0.049)
Hg (0.000, 0.310, 0.319)
Hg (0.000, 0.937, 0.747)
Hg (0.707, 0.834, 0.951)
K (0.500, 0.114, 0.340)
Hg (0.293, 0.666, 0.451)
Hg (0.000, 0.376, 0.044)
Hg (0.707, 0.334, 0.549)
K (0.500, 0.614, 0.160)
Hg (0.000, 0.624, 0.956)
Hg (0.707, 0.166, 0.049)


Entry 6:
# YTl

Crystalline YTl at its relaxed geometry (GGA-PBE, Alexandria via LeMat-Bulk).

DFT formation energy   0.261 eV per atom
V   154.20 Å³ per cell
Total magnetic moment   0.0 μB per cell

abc: 5.375 5.375 6.162
angles: 90.00 90.00 120.00
Atoms (fractional coordinates):
Tl (0.667, 0.333, 0.250)
Y (0.667, 0.333, 0.750)
Y (0.333, 0.667, 0.250)
Tl (0.333, 0.667, 0.750)


The lowest V belongs to which entry?
CsPtS2


Which formula does entry 3 have?
Sr2TlNiSn